(1)
# Cr2InTe

An optimized crystal structure of Cr2InTe (PBE-GGA, the Alexandria database).

The space group is Fm-3m (No. 225) and the conventional cell measures 6.515, 6.515 and 6.515 Å, with angles of 90.00, 90.00 and 90.00 degrees. Symmetry generates all atoms from Cr at (0.250, 0.250, 0.250), In at (0.000, 0.000, 0.000) and Te at (0.000, 0.000, 0.500).

For the formation energy without anion corrections, the calculation gives 240 kJ/mol of formula units. The total DFT energy (no corrections) comes out at -90.576 eV/cell.

=====

(2)
# Er2ZnGe3

An optimized crystal structure of Er2ZnGe3 (PBE-GGA, the Alexandria database).

The space group is Pnma (No. 62) and the conventional cell measures 6.668, 4.181 and 17.751 Å, with angles of 90.00, 90.00 and 90.00 degrees. Symmetry generates all atoms from Er at (0.189, 0.250, 0.084), Er at (0.193, 0.250, 0.298), Zn at (0.053, 0.750, 0.440), Ge at (0.005, 0.250, 0.824), Ge at (0.122, 0.250, 0.688) and Ge at (0.240, 0.750, 0.965).

The total DFT energy (no corrections) comes out at -112.032 eV/cell. Its calculated formation energy is -0.626 eV/atom.

=====

(3)
# Ba4NaCd2In

An optimized crystal structure of Ba4NaCd2In (PBE-GGA, the Alexandria database).

The space group is R-3m (No. 166, hexagonal axes) and the conventional cell measures 6.1327, 6.1327 and 30.1043 Å, with angles of 90.00, 90.00 and 120.00 degrees. Symmetry generates all atoms from Ba at (0.0000, 0.0000, 0.1192), Ba at (0.0000, 0.0000, 0.3694), Na at (0.0000, 0.0000, 0.5000), Cd at (0.0000, 0.0000, 0.2460) and In at (0.0000, 0.0000, 0.0000).

The total DFT energy (no corrections) comes out at -47.252 eV/cell. Its calculated formation energy is -0.271 eV/atom.

=====

(4)
# Ce4MnIn

An optimized crystal structure of Ce4MnIn (PBE-GGA, the Alexandria database).

The space group is Cmcm (No. 63) and the conventional cell measures 6.151, 17.827 and 5.094 Å, with angles of 90.00, 90.00 and 90.00 degrees. Symmetry generates all atoms from Ce at (0.219, 0.041, 0.250), Ce at (0.226, 0.207, 0.250), Mn at (0.000, 0.125, 0.750) and In at (0.000, 0.378, 0.250).

The total DFT energy (no corrections) comes out at -144.281 eV/cell. Its calculated formation energy is -0.071 eV/atom.

=====

(5)
# AcSmIrRh

An optimized crystal structure of AcSmIrRh (PBE-GGA, the Alexandria database).

The space group is F-43m (No. 216) and the conventional cell measures 7.219, 7.219 and 7.219 Å, with angles of 90.00, 90.00 and 90.00 degrees. Symmetry generates all atoms from Ac at (0.000, 0.000, 0.000), Sm at (0.000, 0.000, 0.500), Ir at (0.250, 0.250, 0.750) and Rh at (0.250, 0.250, 0.250).

The total DFT energy (no corrections) comes out at -109.210 eV/cell. Its calculated formation energy is -0.566 eV/atom.

=====

(6)
# GaTc

An optimized crystal structure of GaTc (PBE-GGA, the Alexandria database).

The space group is P-6m2 (No. 187) and the conventional cell measures 2.8748, 2.8748 and 4.1328 Å, with angles of 90.00, 90.00 and 120.00 degrees. Symmetry generates all atoms from Ga at (0.0000, 0.0000, 0.0000) and Tc at (0.6667, 0.3333, 0.5000).

The total DFT energy (no corrections) comes out at -13.584 eV/cell. Its calculated formation energy is -0.095 eV/atom.

=====

(7)
# ZrTa5

An optimized crystal structure of ZrTa5 (PBE-GGA, the Alexandria database).

The space group is P6/mmm (No. 191) and the conventional cell measures 5.6661, 5.6661 and 4.4856 Å, with angles of 90.00, 90.00 and 120.00 degrees. Symmetry generates all atoms from Zr at (0.0000, 0.0000, 0.0000), Ta at (0.0000, 0.5000, 0.5000) and Ta at (0.3333, 0.6667, 0.0000).

The total DFT energy (no corrections) comes out at -65.825 eV/cell. Its calculated formation energy is 0.331 eV/atom.

=====

(8)
# Li8Sn2Ge

An optimized crystal structure of Li8Sn2Ge (PBE-GGA, the Alexandria database).

The space group is C2/m (No. 12) and the conventional cell measures 13.601, 4.621 and 7.058 Å, with angles of 90.00, 119.59 and 90.00 degrees. Symmetry generates all atoms from Li at (0.023, 0.000, 0.232), Li at (0.107, 0.500, 0.929), Li at (0.145, 0.000, 0.688), Li at (0.162, 0.500, 0.382), Sn at (0.212, 0.000, 0.167) and Ge at (0.000, 0.500, 0.500).

The total DFT energy (no corrections) comes out at -62.825 eV/cell. Its calculated formation energy is -0.316 eV/atom.

=====

(9)
# YAgMo2

An optimized crystal structure of YAgMo2 (PBE-GGA, the Alexandria database).

The space group is I-42d (No. 122) and the conventional cell measures 7.973, 7.973 and 5.244 Å, with angles of 90.00, 90.00 and 90.00 degrees. Symmetry generates all atoms from Y at (0.000, 0.000, 0.000), Ag at (0.000, 0.000, 0.500) and Mo at (0.216, 0.250, 0.625).

The total DFT energy (no corrections) comes out at -108.844 eV/cell. Its calculated formation energy is 0.942 eV/atom.

=====

(10)
# Pm2Dy3Tm6

An optimized crystal structure of Pm2Dy3Tm6 (PBE-GGA, the Alexandria database).

The space group is C2/m (No. 12) and the conventional cell measures 6.057, 10.505 and 11.586 Å, with angles of 90.00, 100.11 and 90.00 degrees. Symmetry generates all atoms from Pm at (0.000, 0.167, 0.000), Dy at (0.000, 0.000, 0.500), Dy at (0.000, 0.335, 0.500), Tm at (0.249, 0.167, 0.748) and Tm at (0.249, 0.500, 0.748).

The total DFT energy (no corrections) comes out at -96.091 eV/cell. Its calculated formation energy is 0.190 eV/atom.

=====

(11)
# CoPd3Rh

An optimized crystal structure of CoPd3Rh (PBE-GGA, the Alexandria database).

The space group is Pm-3m (No. 221) and the conventional cell measures 4.488, 4.488 and 4.488 Å, with angles of 90.00, 90.00 and 90.00 degrees. Symmetry generates all atoms from Co at (0.000, 0.000, 0.000), Pd at (0.000, 0.000, 0.500) and Rh at (0.500, 0.500, 0.500).

The total DFT energy (no corrections) comes out at -24.798 eV/cell. Its calculated formation energy is 1.048 eV/atom.

=====

(12)
# NpBPd

An optimized crystal structure of NpBPd (PBE-GGA, the Alexandria database).

The space group is C2/m (No. 12) and the conventional cell measures 9.522, 3.416 and 6.851 Å, with angles of 90.00, 129.70 and 90.00 degrees. Symmetry generates all atoms from Np at (0.244, 0.000, 0.123), B at (0.030, 0.500, 0.146) and Pd at (0.109, 0.000, 0.416).

The total DFT energy (no corrections) comes out at -101.516 eV/cell. Its calculated formation energy is -0.189 eV/atom.

=====

(13)
# CdReSbTe2

An optimized crystal structure of CdReSbTe2 (PBE-GGA, the Alexandria database).

The space group is P4/mmm (No. 123) and the conventional cell measures 5.348, 5.348 and 5.183 Å, with angles of 90.00, 90.00 and 90.00 degrees. Symmetry generates all atoms from Cd at (0.000, 0.000, 0.000), Re at (0.500, 0.500, 0.500), Sb at (0.500, 0.500, 0.000) and Te at (0.000, 0.500, 0.500).

For the formation energy without anion corrections, the calculation gives 312 kJ/mol of formula units. The total DFT energy (no corrections) comes out at -20.532 eV/cell.

=====

(14)
# LiFeCu2

An optimized crystal structure of LiFeCu2 (PBE-GGA, the Alexandria database).

The space group is Pmm2 (No. 25) and the conventional cell measures 2.510, 4.296 and 4.497 Å, with angles of 90.00, 90.00 and 90.00 degrees. Symmetry generates all atoms from Li at (0.000, 0.000, 0.000), Fe at (0.000, 0.500, 0.365), Cu at (0.500, 0.000, 0.500) and Cu at (0.500, 0.500, 0.857).

The total DFT energy (no corrections) comes out at -18.238 eV/cell. Its calculated formation energy is 0.083 eV/atom.

=====

(15)
# Pm4Pr5Nd

An optimized crystal structure of Pm4Pr5Nd (PBE-GGA, the Alexandria database).

The space group is I4 (No. 79) and the conventional cell measures 10.642, 10.642 and 6.345 Å, with angles of 90.00, 90.00 and 90.00 degrees. Symmetry generates all atoms from Pm at (0.004, 0.673, 0.000), Pr at (0.000, 0.000, 0.240), Pr at (0.186, 0.806, 0.511) and Nd at (0.000, 0.000, 0.777).

The total DFT energy (no corrections) comes out at -90.640 eV/cell. Its calculated formation energy is 0.235 eV/atom.

=====

(16)
# La4Tb7Y

An optimized crystal structure of La4Tb7Y (PBE-GGA, the Alexandria database).

The space group is P-3m1 (No. 164) and the conventional cell measures 3.6260, 3.6260 and 35.4368 Å, with angles of 90.00, 90.00 and 120.00 degrees. Symmetry generates all atoms from La at (0.3333, 0.6667, 0.1661), La at (0.3333, 0.6667, 0.4161), Tb at (0.0000, 0.0000, 0.2508), Tb at (0.0000, 0.0000, 0.5000), Tb at (0.3333, 0.6667, 0.6685), Tb at (0.3333, 0.6667, 0.9187) and Y at (0.0000, 0.0000, 0.0000).

The total DFT energy (no corrections) comes out at -58.361 eV/cell. Its calculated formation energy is 0.019 eV/atom.

=====

(17)
# MnGe2Os

An optimized crystal structure of MnGe2Os (PBE-GGA, the Alexandria database).

The space group is I-42d (No. 122) and the conventional cell measures 3.849, 3.849 and 17.238 Å, with angles of 90.00, 90.00 and 90.00 degrees. Symmetry generates all atoms from Mn at (0.000, 0.000, 0.000), Ge at (0.243, 0.250, 0.125) and Os at (0.000, 0.000, 0.500).

The total DFT energy (no corrections) comes out at -112.587 eV/cell. Its calculated formation energy is 0.372 eV/atom.

=====

(18)
# K2NdUS4

An optimized crystal structure of K2NdUS4 (PBE-GGA, the Alexandria database).

The space group is P2/m (No. 10) and the conventional cell measures 7.148, 4.130 and 7.784 Å, with angles of 90.00, 107.85 and 90.00 degrees. Symmetry generates all atoms from K at (0.000, 0.000, 0.000), K at (0.500, 0.500, 0.000), Nd at (0.000, 0.500, 0.500), U at (0.500, 0.000, 0.500), S at (0.244, 0.000, 0.708) and S at (0.273, 0.500, 0.296).

For the formation energy without anion corrections, the calculation gives -1236 kJ/mol of formula units. The total DFT energy (no corrections) comes out at -47.574 eV/cell.

=====

(19)
# VCu2SbAs

An optimized crystal structure of VCu2SbAs (PBE-GGA, the Alexandria database).

The space group is P4/mmm (No. 123) and the conventional cell measures 4.630, 4.630 and 5.009 Å, with angles of 90.00, 90.00 and 90.00 degrees. Symmetry generates all atoms from V at (0.000, 0.000, 0.000), Cu at (0.000, 0.500, 0.000), Sb at (0.000, 0.000, 0.500) and As at (0.500, 0.500, 0.500).

For the formation energy without anion corrections, the calculation gives 513 kJ/mol of formula units. The total DFT energy (no corrections) comes out at -20.771 eV/cell.

=====

(20)
# Cd2GaAgPt

An optimized crystal structure of Cd2GaAgPt (PBE-GGA, the Alexandria database).

The space group is P4/mmm (No. 123) and the conventional cell measures 5.230, 5.230 and 4.755 Å, with angles of 90.00, 90.00 and 90.00 degrees. Symmetry generates all atoms from Cd at (0.000, 0.500, 0.000), Ga at (0.000, 0.000, 0.500), Ag at (0.500, 0.500, 0.500) and Pt at (0.000, 0.000, 0.000).

The total DFT energy (no corrections) comes out at -13.540 eV/cell. Its calculated formation energy is 0.042 eV/atom.

=====

Number 1: calculated volume 17.3 Å³ per atom, DOS at the Fermi energy 1.2459 states/eV per atom. Number 2: calculated volume 20.6 Å³ per atom, DOS at the Fermi energy 0.1884 states/eV per atom. Number 3: calculated volume 40.9 Å³ per atom, DOS at the Fermi energy 0.7203 states/eV per atom. Number 4: calculated volume 23.3 Å³ per atom, DOS at the Fermi energy 2.1533 states/eV per atom. Number 5: calculated volume 23.5 Å³ per atom, DOS at the Fermi energy 0.6440 states/eV per atom. Number 6: calculated volume 14.8 Å³ per atom, DOS at the Fermi energy 0.9719 states/eV per atom. Number 7: calculated volume 20.8 Å³ per atom, DOS at the Fermi energy 1.6654 states/eV per atom. Number 8: calculated volume 17.5 Å³ per atom, DOS at the Fermi energy 0.1801 states/eV per atom. Number 9: calculated volume 20.8 Å³ per atom, DOS at the Fermi energy 1.2960 states/eV per atom. Number 10: calculated volume 33.0 Å³ per atom, DOS at the Fermi energy 1.5972 states/eV per atom. Number 11: calculated volume 18.1 Å³ per atom, DOS at the Fermi energy 1.3465 states/eV per atom. Number 12: calculated volume 14.3 Å³ per atom, DOS at the Fermi energy 1.3952 states/eV per atom. Number 13: calculated volume 29.6 Å³ per atom, DOS at the Fermi energy 1.4981 states/eV per atom. Number 14: calculated volume 12.1 Å³ per atom, DOS at the Fermi energy 0.5831 states/eV per atom. Number 15: calculated volume 35.9 Å³ per atom, DOS at the Fermi energy 1.4422 states/eV per atom. Number 16: calculated volume 33.6 Å³ per atom, DOS at the Fermi energy 1.4876 states/eV per atom. Number 17: calculated volume 16.0 Å³ per atom, DOS at the Fermi energy 0.7267 states/eV per atom. Number 18: calculated volume 27.3 Å³ per atom, DOS at the Fermi energy 0.7834 states/eV per atom. Number 19: calculated volume 21.5 Å³ per atom, DOS at the Fermi energy 0.9109 states/eV per atom. Number 20: calculated volume 26.0 Å³ per atom, DOS at the Fermi energy 0.3470 states/eV per atom.